1.
Density functional theory data (PBE) for a relaxed ZnGe2P crystal.

Values from the calculation:
Formation energy from the elements, eV/f.u.: 0.8
Calculated density, g cm⁻³: 5.61

Unit cell a=3.543 b=2.724 c=14.829 alpha=90.00 beta=90.00 gamma=90.00
Space group Amm2 (No. 38)
One atom of each set of equivalent atoms:
Zn (0.000, 0.000, 0.000) [2 per cell]
Ge (0.000, 0.000, 0.239) [2 per cell]
Ge (0.500, 0.000, 0.385) [2 per cell]
P (0.500, 0.000, 0.123) [2 per cell]

2.
Density functional theory data (PBE) for a relaxed ZnGe2P crystal.

Values from the calculation:
Formation energy from the elements, eV/f.u.: 1.2
Calculated density, g cm⁻³: 4.78

Unit cell a=3.4921 b=3.4921 c=23.8318 alpha=90.00 beta=90.00 gamma=120.00
Space group R-3m (No. 166, hexagonal axes)
One atom of each set of equivalent atoms:
Zn (0.0000, 0.0000, 0.0000) [3 per cell]
Ge (0.0000, 0.0000, 0.1041) [6 per cell]
P (0.0000, 0.0000, 0.5000) [3 per cell]

3.
Density functional theory data (PBE) for a relaxed ZnGe2P crystal.

Values from the calculation:
Formation energy from the elements, eV/f.u.: 0.6
Calculated density, g cm⁻³: 5.10

Unit cell a=6.480 b=4.903 c=5.559 alpha=90.00 beta=117.01 gamma=90.00
Space group Cm (No. 8)
One atom of each set of equivalent atoms:
Zn (0.000, 0.000, 0.000) [2 per cell]
Ge (0.402, 0.000, 0.487) [2 per cell]
Ge (0.499, 0.500, 0.489) [2 per cell]
P (0.366, 0.000, 0.909) [2 per cell]

4.
Density functional theory data (PBE) for a relaxed ZnGeP2 crystal.

Values from the calculation:
Formation energy from the elements, eV/f.u.: -0.7
Calculated density, g cm⁻³: 4.06

Unit cell a=3.848 b=3.848 c=5.522 alpha=90.00 beta=90.00 gamma=90.00
Space group P-4m2 (No. 115)
One atom of each set of equivalent atoms:
Zn (0.000, 0.000, 0.000) [1 per cell]
Ge (0.500, 0.500, 0.500) [1 per cell]
P (0.000, 0.500, 0.247) [2 per cell]

5.
Density functional theory data (PBE) for a relaxed Zn2Ge2P crystal.

Values from the calculation:
Formation energy from the elements, eV/f.u.: 2.0
Calculated density, g cm⁻³: 5.55

Unit cell a=3.558 b=3.558 c=14.513 alpha=90.00 beta=90.00 gamma=90.00
Space group I4/mmm (No. 139)
One atom of each set of equivalent atoms:
Zn (0.000, 0.000, 0.087) [4 per cell]
Ge (0.000, 0.500, 0.250) [4 per cell]
P (0.000, 0.000, 0.500) [2 per cell]

6.
Density functional theory data (PBE) for a relaxed ZnGeP2 crystal.

Values from the calculation:
Formation energy from the elements, eV/f.u.: 1.8
Calculated density, g cm⁻³: 5.10

Unit cell a=6.387 b=6.387 c=6.387 alpha=90.00 beta=90.00 gamma=90.00
Space group Fm-3m (No. 225)
One atom of each set of equivalent atoms:
Zn (0.000, 0.000, 0.000) [4 per cell]
Ge (0.000, 0.000, 0.500) [4 per cell]
P (0.250, 0.250, 0.250) [8 per cell]

7.
Density functional theory data (PBE) for a relaxed ZnGe2P crystal.

Values from the calculation:
Formation energy from the elements, eV/f.u.: 0.7
Calculated density, g cm⁻³: 5.50

Unit cell a=5.185 b=8.037 c=3.503 alpha=90.00 beta=90.00 gamma=90.00
Space group Cmmm (No. 65)
One atom of each set of equivalent atoms:
Zn (0.000, 0.000, 0.000) [2 per cell]
Ge (0.000, 0.273, 0.500) [4 per cell]
P (0.000, 0.500, 0.000) [2 per cell]

8.
Density functional theory data (PBE) for a relaxed ZnGeP crystal.

Values from the calculation:
Formation energy from the elements, eV/f.u.: 1.1
Calculated density, g cm⁻³: 5.50

Unit cell a=14.942 b=2.796 c=4.886 alpha=90.00 beta=90.00 gamma=90.00
Space group Amm2 (No. 38)
One atom of each set of equivalent atoms:
Zn (0.176, 0.000, 0.000) [4 per cell]
Ge (0.000, 0.000, 0.054) [2 per cell]
Ge (0.500, 0.000, 0.942) [2 per cell]
P (0.325, 0.000, 0.444) [4 per cell]

9.
Density functional theory data (PBE) for a relaxed ZnGeP crystal.

Values from the calculation:
Formation energy from the elements, eV/f.u.: 0.3
Calculated density, g cm⁻³: 5.11

Unit cell a=5.074 b=3.700 c=11.704 alpha=90.00 beta=90.00 gamma=90.00
Space group Amm2 (No. 38)
One atom of each set of equivalent atoms:
Zn (0.000, 0.000, 0.000) [2 per cell]
Zn (0.500, 0.000, 0.337) [2 per cell]
Ge (0.000, 0.000, 0.296) [2 per cell]
Ge (0.500, 0.000, 0.631) [2 per cell]
P (0.000, 0.000, 0.661) [2 per cell]
P (0.500, 0.000, 0.990) [2 per cell]

10.
Density functional theory data (PBE) for a relaxed ZnGe2P crystal.

Values from the calculation:
Formation energy from the elements, eV/f.u.: 0.5
Calculated density, g cm⁻³: 5.00

Unit cell a=3.901 b=12.175 c=3.575 alpha=90.00 beta=109.14 gamma=90.00
Space group C2 (No. 5)
One atom of each set of equivalent atoms:
Zn (0.000, 0.000, 0.000) [2 per cell]
Ge (0.000, 0.375, 0.500) [2 per cell]
Ge (0.000, 0.742, 0.500) [2 per cell]
P (0.000, 0.616, 0.000) [2 per cell]

11.
Density functional theory data (PBE) for a relaxed Zr2Ge2P crystal.

Values from the calculation:
Formation energy from the elements, eV/f.u.: -3.4
Calculated density, g cm⁻³: 6.05

Unit cell a=7.049 b=7.049 c=3.966 alpha=90.00 beta=90.00 gamma=90.00
Space group P4/mbm (No. 127)
One atom of each set of equivalent atoms:
Zr (0.180, 0.320, 0.000) [4 per cell]
Ge (0.124, 0.624, 0.500) [4 per cell]
P (0.000, 0.000, 0.000) [2 per cell]

12.
Density functional theory data (PBE) for a relaxed Zr2GeP crystal.

Values from the calculation:
Formation energy from the elements, eV/f.u.: -4.2
Calculated density, g cm⁻³: 6.06

Unit cell a=6.584 b=3.805 c=6.624 alpha=90.00 beta=109.26 gamma=90.00
Space group C2/m (No. 12)
One atom of each set of equivalent atoms:
Zr (0.246, 0.000, 0.239) [4 per cell]
Ge (0.000, 0.000, 0.500) [2 per cell]
P (0.000, 0.500, 0.000) [2 per cell]

> The lowest formation energy from the elements belongs to which entry?

Zr2GeP

> Which formula does entry 2 have?

ZnGe2P

> Among the records above, which one has the highest formation energy from the elements?

Zn2Ge2P

Repeat the tenth record exactly.
Density functional theory data (PBE) for a relaxed ZnGe2P crystal.

Values from the calculation:
Formation energy from the elements, eV/f.u.: 0.5
Calculated density, g cm⁻³: 5.00

Unit cell a=3.901 b=12.175 c=3.575 alpha=90.00 beta=109.14 gamma=90.00
Space group C2 (No. 5)
One atom of each set of equivalent atoms:
Zn (0.000, 0.000, 0.000) [2 per cell]
Ge (0.000, 0.375, 0.500) [2 per cell]
Ge (0.000, 0.742, 0.500) [2 per cell]
P (0.000, 0.616, 0.000) [2 per cell]